# Sr2NbGePt

A relaxed Sr2NbGePt crystal (GGA-PBE, Alexandria). Values from VASP.

ΔH_f (0 K): 113.1 kJ/mol of formula units
total DFT energy (no corrections): -4.584 eV per atom
volume: 167.1 Å³ per cell

Cell and atoms, written as Quantum ESPRESSO input:
```
&SYSTEM
  ibrav = 0, nat = 5, ntyp = 4
/
ATOMIC_SPECIES
Sr 87.62 Sr.upf
Nb 92.91 Nb.upf
Ge 72.64 Ge.upf
Pt 195.08 Pt.upf
CELL_PARAMETERS angstrom
5.8206 0.0000 0.0000
0.0000 5.8206 0.0000
0.0000 0.0000 4.9331
ATOMIC_POSITIONS angstrom
Sr 0.0000 2.9103 0.0000
Sr 2.9103 0.0000 0.0000
Nb 0.0000 0.0000 2.4666
Ge 2.9103 2.9103 2.4666
Pt 0.0000 0.0000 0.0000
```

# TaNbGePt2

A relaxed TaNbGePt2 crystal (GGA-PBE, Alexandria). Values from VASP.

ΔH_f (0 K): 312.1 kJ/mol of formula units
total DFT energy (no corrections): -7.077 eV per atom
volume: 98.4 Å³ per cell

Cell and atoms, written as Quantum ESPRESSO input:
```
&SYSTEM
  ibrav = 0, nat = 5, ntyp = 4
/
ATOMIC_SPECIES
Ta 180.95 Ta.upf
Nb 92.91 Nb.upf
Ge 72.64 Ge.upf
Pt 195.08 Pt.upf
CELL_PARAMETERS angstrom
4.5432 0.0000 0.0000
0.0000 4.5432 0.0000
0.0000 0.0000 4.7666
ATOMIC_POSITIONS angstrom
Ta 0.0000 0.0000 0.0000
Nb 2.2716 2.2716 0.0000
Ge 0.0000 0.0000 2.3833
Pt 0.0000 2.2716 2.3833
Pt 2.2716 0.0000 2.3833
```

# Tb2NbGe4Pt3

A relaxed Tb2NbGe4Pt3 crystal (GGA-PBE, Alexandria). Values from VASP.

ΔH_f (0 K): -774.5 kJ/mol of formula units
total DFT energy (no corrections): -6.395 eV per atom
volume: 192.8 Å³ per cell

Cell and atoms, written as Quantum ESPRESSO input:
```
&SYSTEM
  ibrav = 0, nat = 10, ntyp = 4
/
ATOMIC_SPECIES
Tb 158.93 Tb.upf
Nb 92.91 Nb.upf
Ge 72.64 Ge.upf
Pt 195.08 Pt.upf
CELL_PARAMETERS angstrom
4.2051 0.0000 0.0000
0.0000 4.2051 0.0000
0.0000 0.0000 10.9030
ATOMIC_POSITIONS angstrom
Tb 0.0000 2.1025 2.6503
Tb 2.1025 0.0000 8.2527
Nb 0.0000 0.0000 5.4515
Ge 0.0000 0.0000 0.0000
Ge 0.0000 2.1025 7.0082
Ge 2.1025 0.0000 3.8948
Ge 2.1025 2.1025 0.0000
Pt 0.0000 2.1025 9.4695
Pt 2.1025 0.0000 1.4335
Pt 2.1025 2.1025 5.4515
```

Please write out number 1 again, unchanged.
# Sr2NbGePt

A relaxed Sr2NbGePt crystal (GGA-PBE, Alexandria). Values from VASP.

ΔH_f (0 K): 113.1 kJ/mol of formula units
total DFT energy (no corrections): -4.584 eV per atom
volume: 167.1 Å³ per cell

Cell and atoms, written as Quantum ESPRESSO input:
```
&SYSTEM
  ibrav = 0, nat = 5, ntyp = 4
/
ATOMIC_SPECIES
Sr 87.62 Sr.upf
Nb 92.91 Nb.upf
Ge 72.64 Ge.upf
Pt 195.08 Pt.upf
CELL_PARAMETERS angstrom
5.8206 0.0000 0.0000
0.0000 5.8206 0.0000
0.0000 0.0000 4.9331
ATOMIC_POSITIONS angstrom
Sr 0.0000 2.9103 0.0000
Sr 2.9103 0.0000 0.0000
Nb 0.0000 0.0000 2.4666
Ge 2.9103 2.9103 2.4666
Pt 0.0000 0.0000 0.0000
```

> The highest volume belongs to which entry?

Tb2NbGe4Pt3